Record 1
Material: LiDy2F
Method: DFT, PBE
State: relaxed

Computed properties:
Density of states at the Fermi level in states/eV/cell: 4.19
Formation energy from raw total energies in eV/atom: -0.823
Calculated volume in Å³/f.u.: 95.3
Magnetic moment in μB per formula unit: 0.00

abc: 3.325 3.325 10.135
angles: 80.56 80.56 60.00
Fractional coordinates of all 4 atoms:
F1 0.500 0.500 0.500
Li1 0.000 0.000 0.000
Dy1 0.106 0.106 0.682
Dy2 0.894 0.894 0.318


Record 2
Material: LiDyF4
Method: DFT, PBE
State: relaxed

Computed properties:
Density of states at the Fermi level in states/eV/cell: 0.00
Formation energy from raw total energies in eV/atom: -3.771
Calculated volume in Å³/f.u.: 81.7
Magnetic moment in μB per formula unit: 0.00

abc: 5.970 5.969 5.969
angles: 71.93 71.93 112.31
Fractional coordinates of all 12 atoms:
Li1 0.625 0.875 0.750
Li2 0.375 0.125 0.250
Dy1 0.875 0.625 0.250
Dy2 0.125 0.375 0.750
F1 0.240 0.674 0.934
F2 0.608 0.674 0.566
F3 0.174 0.108 0.066
F4 0.760 0.326 0.066
F5 0.174 0.740 0.434
F6 0.826 0.892 0.934
F7 0.392 0.326 0.434
F8 0.826 0.260 0.566


Record 3
Material: Li5Dy3F12
Method: DFT, PBE
State: relaxed

Computed properties:
Density of states at the Fermi level in states/eV/cell: 13.53
Formation energy from raw total energies in eV/atom: -3.269
Calculated volume in Å³/f.u.: 234.0
Magnetic moment in μB per formula unit: 0.00

abc: 10.674 10.674 10.674
angles: 109.47 109.47 109.47
Fractional coordinates of all 80 atoms:
Dy1 0.750 0.375 0.125
Dy2 0.875 0.750 0.125
Dy3 0.375 0.750 0.625
Dy4 0.250 0.125 0.375
Dy5 0.875 0.125 0.250
Dy6 0.375 0.625 0.250
Dy7 0.625 0.375 0.750
Dy8 0.125 0.875 0.750
Dy9 0.750 0.875 0.625
Dy10 0.625 0.250 0.375
Dy11 0.125 0.250 0.875
Dy12 0.250 0.625 0.875
Li1 0.125 0.375 0.250
Li2 0.000 0.500 0.000
Li3 0.000 0.000 0.000
Li4 0.375 0.250 0.125
Li5 0.500 0.000 0.500
Li6 0.500 0.500 0.000
Li7 0.125 0.750 0.375
Li8 0.750 0.125 0.875
Li9 0.750 0.625 0.375
Li10 0.375 0.125 0.750
Li11 0.625 0.875 0.250
Li12 0.500 0.500 0.500
Li13 0.500 0.000 0.000
Li14 0.000 0.000 0.500
Li15 0.250 0.375 0.625
Li16 0.250 0.875 0.125
Li17 0.000 0.500 0.500
Li18 0.875 0.250 0.625
Li19 0.625 0.750 0.875
Li20 0.875 0.625 0.750
F1 0.713 0.121 0.027
F2 0.314 0.527 0.406
F3 0.973 0.379 0.287
F4 0.527 0.213 0.121
F5 0.592 0.713 0.686
F6 0.973 0.594 0.186
F7 0.314 0.787 0.408
F8 0.094 0.908 0.121
F9 0.594 0.973 0.686
F10 0.713 0.592 0.186
F11 0.787 0.473 0.379
F12 0.814 0.906 0.027
F13 0.121 0.713 0.527
F14 0.379 0.406 0.092
F15 0.092 0.906 0.379
F16 0.408 0.121 0.594
F17 0.092 0.186 0.213
F18 0.473 0.686 0.094
F19 0.814 0.908 0.287
F20 0.121 0.408 0.094
F21 0.379 0.973 0.787
F22 0.594 0.621 0.408
F23 0.906 0.814 0.527
F24 0.787 0.314 0.908
F25 0.406 0.379 0.592
F26 0.094 0.186 0.473
F27 0.213 0.686 0.092
F28 0.186 0.092 0.713
F29 0.621 0.027 0.213
F30 0.879 0.592 0.906
F31 0.527 0.314 0.906
F32 0.592 0.879 0.406
F33 0.908 0.814 0.787
F34 0.908 0.094 0.621
F35 0.879 0.287 0.473
F36 0.186 0.094 0.973
F37 0.621 0.594 0.908
F38 0.406 0.027 0.314
F39 0.287 0.408 0.814
F40 0.213 0.527 0.621
F41 0.906 0.092 0.879
F42 0.686 0.213 0.592
F43 0.473 0.787 0.879
F44 0.027 0.406 0.814
F45 0.408 0.287 0.314
F46 0.027 0.621 0.713
F47 0.686 0.473 0.594
F48 0.287 0.879 0.973


Record 4
Material: LiDyF2
Method: DFT, PBE
State: relaxed

Computed properties:
Density of states at the Fermi level in states/eV/cell: 5.40
Formation energy from raw total energies in eV/atom: -2.356
Calculated volume in Å³/f.u.: 70.8
Magnetic moment in μB per formula unit: 0.00

abc: 7.891 7.891 7.891
angles: 129.77 129.77 73.78
Fractional coordinates of all 16 atoms:
Li1 0.875 0.125 0.250
Li2 0.875 0.625 0.750
Li3 0.875 0.125 0.750
Li4 0.375 0.125 0.250
Dy1 0.375 0.625 0.250
Dy2 0.375 0.125 0.750
Dy3 0.375 0.625 0.750
Dy4 0.875 0.625 0.250
F1 0.221 0.439 0.782
F2 0.657 0.439 0.218
F3 0.189 0.907 0.718
F4 0.529 0.811 0.718
F5 0.189 0.471 0.282
F6 0.093 0.811 0.282
F7 0.561 0.343 0.782
F8 0.561 0.779 0.218